(1)
A plane-wave DFT calculation with PBE-GGA was carried out for a relaxed KBaMoH2 crystal.

Properties
DOS(E_F)	3.4	states/eV per cell
E	-0.1084	hartree per atom
space group	P4/mmm (123)

```
KBaMoH2
1.0
-1.447 0.671 -3.958
3.414 -3.619 -1.861
-2.932 -3.051 0.555
Mo Ba H K
1 1 2 1
Cartesian
0.000 0.000 0.000
-0.482 -2.999 -2.632
-1.466 -1.525 0.277
-0.723 0.335 -1.979
1.707 -1.809 -0.930
```

(2)
A plane-wave DFT calculation with PBE-GGA was carried out for a relaxed K2BaMoH crystal.

Properties
DOS(E_F)	5.1	states/eV per cell
E	-0.1012	hartree per atom
space group	P4/mmm (123)

```
K2BaMoH
1.0
6.538 0.000 0.000
0.000 4.039 0.000
0.000 0.000 6.538
Ba H K Mo
1 1 2 1
Cartesian
3.269 2.020 3.269
0.000 0.000 0.000
3.269 0.000 0.000
0.000 0.000 3.269
0.000 2.020 0.000
```

(3)
A plane-wave DFT calculation with PBE-GGA was carried out for a relaxed KBa2NaH crystal.

Properties
DOS(E_F)	3.3	states/eV per cell
E	-0.0728	hartree per atom
space group	P4/mmm (123)
energy above the lowest structure with this stoichiometry	0	meV per atom

```
KBa2NaH
1.0
5.832 0.000 0.000
0.000 5.832 0.000
0.000 0.000 6.283
Na K H Ba
1 1 1 2
Cartesian
2.916 2.916 3.141
0.000 0.000 3.141
0.000 0.000 0.000
0.000 2.916 0.000
2.916 0.000 0.000
```

(4)
A plane-wave DFT calculation with PBE-GGA was carried out for a relaxed KBa2NaH crystal.

Properties
DOS(E_F)	6.0	states/eV per cell
E	-0.0397	hartree per atom
space group	P4/mmm (123)
energy above the lowest structure with this stoichiometry	901	meV per atom

```
KBa2NaH
1.0
7.507 0.000 0.000
0.000 7.507 0.000
0.000 0.000 5.741
Na Ba H K
1 2 1 1
Cartesian
0.000 0.000 2.870
3.754 0.000 0.000
0.000 3.754 0.000
3.754 3.754 2.870
0.000 0.000 0.000
```

(5)
A plane-wave DFT calculation with PBE-GGA was carried out for a relaxed KBa2NaH crystal.

Properties
DOS(E_F)	2.7	states/eV per cell
E	-0.0718	hartree per atom
space group	P4/mmm (123)
energy above the lowest structure with this stoichiometry	28	meV per atom

```
KBa2NaH
1.0
5.768 0.000 0.000
0.000 5.768 0.000
0.000 0.000 6.588
K Na Ba H
1 1 2 1
Cartesian
2.884 2.884 3.294
0.000 0.000 3.294
0.000 2.884 0.000
2.884 0.000 0.000
0.000 0.000 0.000
```

(6)
A plane-wave DFT calculation with PBE-GGA was carried out for a relaxed KBaNa2H crystal.

Properties
DOS(E_F)	2.6	states/eV per cell
E	-0.0668	hartree per atom
space group	P4/mmm (123)

```
KBaNa2H
1.0
-3.918 4.580 2.038
-0.156 -2.696 5.761
3.987 2.783 1.410
Ba H K Na
1 1 1 2
Cartesian
1.993 1.391 0.705
0.000 0.000 0.000
-0.044 2.333 4.605
-1.959 2.290 1.019
-0.078 -1.348 2.881
```

(7)
A plane-wave DFT calculation with PBE-GGA was carried out for a relaxed KBaNiH4 crystal.

Properties
DOS(E_F)	5.2	states/eV per cell
E	-0.1263	hartree per atom
space group	Cmcm (63)

```
KBaNiH4
1.0
-2.318 -4.268 -2.212
3.376 -3.197 2.630
-4.286 1.727 7.600
H Ni K Ba
8 2 2 2
Cartesian
0.835 -2.524 3.997
-4.064 -3.214 4.022
-2.143 0.863 3.800
-1.214 -2.678 6.440
-0.455 -0.735 5.115
-3.302 -1.271 2.694
-2.014 -3.060 1.578
-1.614 -2.869 4.009
-3.038 -3.137 2.800
-0.190 -2.601 5.219
-3.245 -1.105 5.534
0.016 -4.633 2.484
-2.541 -4.824 5.534
-0.688 -0.914 2.484
```

(8)
A plane-wave DFT calculation with PBE-GGA was carried out for a relaxed K2BaNiH6 crystal.

Properties
DOS(E_F)	3.2	states/eV per cell
E	-0.1175	hartree per atom
space group	P-3m1 (164)

```
K2BaNiH6
1.0
6.703 0.000 0.000
0.000 5.715 0.000
0.000 -2.858 4.950
H Ba K Ni
6 1 2 1
Cartesian
0.937 4.628 0.628
0.937 2.858 3.694
5.767 1.770 4.322
5.767 -1.770 4.322
0.937 1.087 0.628
5.767 0.000 1.256
3.352 0.000 0.000
5.877 2.858 1.650
0.826 0.000 3.300
0.000 0.000 0.000
```